1.
Np2Cl4F5, optimized geometry, DFT GGA-PBE; magnetization = 5.00 μB/cell; crystal system = monoclinic; E = -69.7 eV per formula unit; volume = 260.6 Å³/cell
1.0
4.353 0.000 0.000
0.000 6.023 -0.057
0.000 0.562 9.935
F Np Cl
5 2 4
direct
0.000 0.371 0.355 F
0.000 0.164 0.865 F
0.000 0.836 0.135 F
0.000 0.000 0.500 F
0.000 0.629 0.645 F
0.000 0.926 0.729 Np
0.000 0.074 0.271 Np
0.500 0.261 0.140 Cl
0.500 0.829 0.349 Cl
0.500 0.171 0.651 Cl
0.500 0.739 0.860 Cl

---

2.
NpClF3, optimized geometry, DFT GGA-PBE; magnetization = 6.00 μB/cell; energy relative to the lowest polymorph listed for this composition = 0.2326 eV/atom; crystal system = trigonal; E = -33.8 eV per formula unit; volume = 231.2 Å³/cell
1.0
5.762 0.000 0.000
2.881 4.990 0.000
2.881 1.663 8.041
Np Cl F
2 2 6
direct
0.093 0.093 0.721 Np
0.907 0.907 0.279 Np
0.793 0.793 0.620 Cl
0.207 0.207 0.380 Cl
0.701 0.228 0.842 F
0.772 0.299 0.158 F
0.772 0.772 0.158 F
0.299 0.772 0.158 F
0.228 0.701 0.842 F
0.228 0.228 0.842 F

---

3.
Np2ClF6, optimized geometry, DFT GGA-PBE; magnetization = 7.00 μB/cell; crystal system = monoclinic; E = -67.8 eV per formula unit; volume = 142.4 Å³/cell
1.0
-0.112 -3.766 1.725
-0.428 -4.323 -4.545
5.628 -2.724 -0.659
F Cl Np
6 1 2
direct
0.219 0.116 0.447 F
0.219 0.447 0.116 F
0.500 0.337 0.663 F
0.500 0.663 0.337 F
0.781 0.884 0.553 F
0.781 0.553 0.884 F
0.000 0.000 0.000 Cl
0.710 0.291 0.291 Np
0.290 0.709 0.709 Np

---

4.
NpCl4F, optimized geometry, DFT GGA-PBE; magnetization = 2.00 μB/cell; crystal system = tetragonal; E = -33.1 eV per formula unit; volume = 202.6 Å³/cell
1.0
-1.029 3.991 -1.755
-5.359 2.769 3.723
3.887 4.950 3.262
Cl Np F
4 1 1
direct
0.197 0.799 0.692 Cl
0.996 0.692 0.201 Cl
0.889 0.308 0.799 Cl
0.688 0.201 0.308 Cl
0.943 0.000 0.000 Np
0.443 0.000 0.000 F

---

5.
NpCl2F2, optimized geometry, DFT GGA-PBE; magnetization = 6.00 μB/cell; crystal system = monoclinic; E = -32.4 eV per formula unit; volume = 275.3 Å³/cell
1.0
-5.497 -2.389 3.410
1.409 -1.973 -6.455
5.093 -3.718 3.408
F Cl Np
4 4 2
direct
0.235 0.235 0.169 F
0.888 0.888 0.176 F
0.112 0.112 0.824 F
0.765 0.765 0.831 F
0.424 0.929 0.763 Cl
0.576 0.071 0.237 Cl
0.929 0.424 0.763 Cl
0.071 0.576 0.237 Cl
0.132 0.868 0.000 Np
0.868 0.132 0.000 Np

---

6.
NpClF3, optimized geometry, DFT GGA-PBE; magnetization = 2.97 μB/cell; energy relative to the lowest polymorph listed for this composition = 0.1195 eV/atom; crystal system = cubic; E = -34.4 eV per formula unit; volume = 88.4 Å³/cell
1.0
4.454 0.000 0.000
0.000 4.454 0.000
0.000 0.000 4.454
Cl F Np
1 3 1
direct
0.500 0.500 0.500 Cl
0.000 0.500 0.000 F
0.000 0.000 0.500 F
0.500 0.000 0.000 F
0.000 0.000 0.000 Np

---

7.
NpClF3, optimized geometry, DFT GGA-PBE; magnetization = 6.00 μB/cell; energy relative to the lowest polymorph listed for this composition = 0.0000 eV/atom; crystal system = monoclinic; E = -35.0 eV per formula unit; volume = 208.7 Å³/cell
1.0
-2.516 0.610 5.519
0.418 -5.345 0.781
6.950 0.523 -0.141
Np F Cl
2 6 2
direct
0.172 0.948 0.693 Np
0.862 0.448 0.868 Np
0.856 0.205 0.592 F
0.178 0.190 0.968 F
0.871 0.448 0.161 F
0.178 0.705 0.968 F
0.163 0.948 0.400 F
0.856 0.690 0.592 F
0.673 0.948 0.910 Cl
0.361 0.448 0.651 Cl

---

8.
NpCl2F, optimized geometry, DFT GGA-PBE; magnetization = 4.00 μB/cell; crystal system = monoclinic; E = -27.6 eV per formula unit; volume = 101.6 Å³/cell
1.0
-3.473 0.432 -2.176
-1.116 -2.906 -2.701
-5.013 -4.071 3.379
F Cl Np
1 2 1
direct
0.793 0.793 0.622 F
0.208 0.208 0.369 Cl
0.042 0.042 0.881 Cl
0.457 0.457 0.628 Np

---

Number 1: ΔE_f (raw) -2.4634 eV per atom. Number 2: ΔE_f (raw) -2.6824 eV per atom. Number 3: ΔE_f (raw) -3.2044 eV per atom. Number 4: ΔE_f (raw) -1.8249 eV per atom. Number 5: ΔE_f (raw) -2.3990 eV per atom. Number 6: ΔE_f (raw) -2.7954 eV per atom. Number 7: ΔE_f (raw) -2.9149 eV per atom. Number 8: ΔE_f (raw) -2.2853 eV per atom.